This record from Alexandria via LeMat-Bulk describes a PBEsol-optimized structure of K2CaYCu. The functional is meta-GGA SCAN.

The structure in POSCAR format:
```
K2CaYCu
1.0
6.2500 0.0000 0.0000
0.0000 6.8178 0.0000
0.0000 0.0000 6.8178
K Y Cu Ca
2 1 1 1
direct
0.0000 0.0000 0.5000 K
0.0000 0.5000 0.0000 K
0.0000 0.0000 0.0000 Y
0.5000 0.5000 0.5000 Cu
0.5000 0.0000 0.0000 Ca
```

Properties
The value obtained for the magnetization is 0.790 μB/atom. For the total energy, the calculation gives -12.5276 eV per atom. Its space group is P4/mmm.


This record from Alexandria via LeMat-Bulk describes a PBEsol-optimized structure of TaAg2Sb. The functional is meta-GGA SCAN.

The structure in POSCAR format:
```
TaAg2Sb
1.0
2.9450 0.0148 0.0000
-0.7340 2.8521 0.0000
0.0000 0.0000 9.1046
Ta Sb Ag
1 1 2
direct
0.5000 0.5000 0.2378 Ta
0.0000 0.0000 0.4817 Sb
0.0000 0.0000 0.0047 Ag
0.5000 0.5000 0.7758 Ag
```

Properties
The value obtained for the magnetization is 0.000 μB/atom. For the formation energy without anion corrections, the calculation gives 0.95 eV per formula unit. Its space group is Cmm2.


This record from Alexandria via LeMat-Bulk describes a PBEsol-optimized structure of LiVSi2O6. The functional is meta-GGA SCAN.

The structure in POSCAR format:
```
LiVSi2O6
1.0
-3.9414 2.9998 -1.5121
0.9170 -2.8571 -8.0581
-4.2812 -7.9441 2.3294
Si O V Li
8 24 4 4
direct
0.7339 0.1573 0.9497 Si
0.1886 0.6587 0.4465 Si
0.6886 0.8413 0.4465 Si
0.3114 0.1587 0.5535 Si
0.8114 0.3413 0.5535 Si
0.7661 0.6573 0.0503 Si
0.2339 0.3427 0.9497 Si
0.2661 0.8427 0.0503 Si
0.1944 0.8378 0.8691 O
0.4893 0.2777 0.8897 O
0.3771 0.7903 0.3919 O
0.2567 0.6626 0.6285 O
0.1229 0.2903 0.6081 O
0.6229 0.2097 0.6081 O
0.7567 0.8374 0.6285 O
0.2433 0.1626 0.3715 O
0.2394 0.4961 0.3722 O
0.6944 0.6622 0.8691 O
0.0107 0.7777 0.1103 O
0.8154 0.4868 0.1203 O
0.9893 0.2223 0.8897 O
0.3154 0.0132 0.1203 O
0.8771 0.7097 0.3919 O
0.7394 0.0039 0.3722 O
0.2606 0.9961 0.6278 O
0.7433 0.3374 0.3715 O
0.3056 0.3378 0.1309 O
0.5107 0.7223 0.1103 O
0.7606 0.5039 0.6278 O
0.8056 0.1621 0.1309 O
0.6846 0.9868 0.8797 O
0.1846 0.5132 0.8797 O
0.5251 0.1613 0.2503 V
0.4749 0.8387 0.7497 V
0.9749 0.6613 0.7497 V
0.0251 0.3387 0.2503 V
0.0245 0.9877 0.2531 Li
0.5245 0.5123 0.2531 Li
0.9755 0.0123 0.7469 Li
0.4755 0.4877 0.7469 Li
```

Properties
The value obtained for the magnetization is 0.200 μB/atom. The offset from the most stable computed form is 0.001 eV per atom. For the formation energy without anion corrections, the calculation gives -28.77 eV per formula unit. Its space group is P2_1/c.


This record from Alexandria via LeMat-Bulk describes a PBEsol-optimized structure of SrLiW2. The functional is meta-GGA SCAN.

The structure in POSCAR format:
```
SrLiW2
1.0
-0.0729 1.1677 2.5852
4.0642 -2.7791 0.6832
3.0860 4.0812 -1.7564
Li W Sr
1 2 1
direct
0.0000 0.5000 0.5000 Li
0.8596 0.7417 0.0000 W
0.1404 0.2583 0.0000 W
0.5000 0.0000 0.5000 Sr
```

Properties
The value obtained for the magnetization is 0.000 μB/atom. The offset from the most stable computed form is 0.000 eV per atom. Its space group is P2/m.


This record from Alexandria via LeMat-Bulk describes a PBEsol-optimized structure of KRbCa3. The functional is meta-GGA SCAN.

The structure in POSCAR format:
```
KRbCa3
1.0
-1.9698 -0.8871 -6.4766
0.4423 -6.7669 0.7923
-6.5221 -0.1909 2.0098
Ca Rb K
3 1 1
direct
0.0000 0.5000 0.0000 Ca
0.5000 0.0000 0.0000 Ca
0.0000 0.0000 0.5000 Ca
0.5000 0.5000 0.5000 Rb
0.0000 0.0000 0.0000 K
```

Properties
The value obtained for the magnetization is 0.075 μB/atom. For the total energy, the calculation gives -10.9512 eV per atom. Its space group is Pm-3m.


This record from Alexandria via LeMat-Bulk describes a PBEsol-optimized structure of PrEuCuS3. The functional is meta-GGA SCAN.

The structure in POSCAR format:
```
PrEuCuS3
1.0
3.9635 0.0000 0.0000
0.0000 7.9400 0.0000
0.0000 0.0000 15.5408
Eu S Pr Cu
4 12 4 4
direct
0.2500 0.0874 0.7839 Eu
0.7500 0.4126 0.2839 Eu
0.7500 0.9126 0.2161 Eu
0.2500 0.5874 0.7161 Eu
0.7500 0.4906 0.0982 S
0.7500 0.1185 0.9294 S
0.2500 0.0094 0.5982 S
0.2500 0.8815 0.0706 S
0.7500 0.9906 0.4018 S
0.2500 0.5094 0.9018 S
0.2500 0.1800 0.2209 S
0.7500 0.8200 0.7791 S
0.7500 0.6185 0.5706 S
0.7500 0.3200 0.7209 S
0.2500 0.6800 0.2791 S
0.2500 0.3815 0.4294 S
0.7500 0.2496 0.5410 Pr
0.7500 0.7496 0.9590 Pr
0.2500 0.7504 0.4590 Pr
0.2500 0.2504 0.0410 Pr
0.7500 0.3827 0.8662 Cu
0.7500 0.8827 0.6338 Cu
0.2500 0.1173 0.3662 Cu
0.2500 0.6173 0.1338 Cu
```

Properties
The value obtained for the magnetization is 1.166 μB/atom. For the formation energy without anion corrections, the calculation gives -11.23 eV per formula unit. Its space group is Pnma.


This record from Alexandria via LeMat-Bulk describes a PBEsol-optimized structure of CaPd2Se. The functional is meta-GGA SCAN.

The structure in POSCAR format:
```
CaPd2Se
1.0
4.0878 0.0000 0.0000
0.0000 4.0878 0.0000
-2.0439 -2.0439 9.1568
Ca Pd Se
2 4 2
direct
0.5000 0.5000 0.0000 Ca
0.7500 0.2500 0.5000 Ca
0.3415 0.8750 0.2500 Pd
0.1250 0.0915 0.7500 Pd
0.9085 0.3750 0.2500 Pd
0.6250 0.6585 0.7500 Pd
0.2500 0.7500 0.5000 Se
0.0000 0.0000 0.0000 Se
```

Properties
The value obtained for the magnetization is 0.000 μB/atom. The offset from the most stable computed form is 0.000 eV per atom. For the formation energy without anion corrections, the calculation gives -2.64 eV per formula unit. Its space group is I-42d.


This record from Alexandria via LeMat-Bulk describes a PBEsol-optimized structure of Ca2ZnAu. The functional is meta-GGA SCAN.

The structure in POSCAR format:
```
Ca2ZnAu
1.0
-0.7192 -3.2944 1.4061
2.3804 1.2810 4.2189
-4.2973 1.7467 1.8943
Ca Au Zn
2 1 1
direct
0.0000 0.0000 0.5000 Ca
0.0000 0.5000 0.0000 Ca
0.5000 0.5000 0.5000 Au
0.5000 0.0000 0.0000 Zn
```

Properties
The value obtained for the magnetization is 0.000 μB/atom. For the total energy, the calculation gives -26.1060 eV per atom. Its space group is P4/mmm.